# 1
Computed, not measured: crystalline Co2NiPt at its relaxed geometry at the PBE-GGA level of DFT.

Calculated values
The value obtained for the formation energy is -0.0463 eV per atom. The magnetic moment is 4.72 μB per cell. As for the volume: 49 Å³ per cell.

Unit cell a=3.6393 b=2.6231 c=5.7934 alpha=63.02 beta=90.00 gamma=90.00
Last column: magnetic moment on the atom in μB.
Element x y z (fractional)
Ni 0.5000 0.2500 0.2500  0.80
Pt 0.5000 0.7500 0.7500  0.40
Co 0.0000 0.5200 0.4798  1.82
Co 0.0000 0.9800 0.0202  1.82

---

# 2
Computed, not measured: crystalline Co3Ni8Pt at its relaxed geometry at the PBE-GGA level of DFT.

Calculated values
The value obtained for the formation energy is 0.1047 eV per atom. The magnetic moment is 21.97 μB per cell. As for the volume: 278 Å³ per cell.

Unit cell a=8.0679 b=8.0679 c=4.9376 alpha=90.00 beta=90.00 gamma=120.00
Last column: magnetic moment on the atom in μB.
Element x y z (fractional)
Ni 0.0000 0.0000 0.4143  0.68
Ni 0.1614 0.3227 0.6562  0.77
Ni 0.4942 0.9883 0.8457  0.62
Ni 0.0000 0.0000 0.9143  0.68
Ni 0.6773 0.8386 0.6562  0.77
Ni 0.9883 0.4942 0.3457  0.62
Ni 0.3227 0.1614 0.1562  0.77
Ni 0.3333 0.6667 0.9842  0.68
Ni 0.8386 0.1614 0.1562  0.77
Ni 0.5058 0.4942 0.3457  0.62
Ni 0.8386 0.6773 0.1562  0.77
Ni 0.5058 0.0117 0.3457  0.62
Ni 0.4942 0.5058 0.8457  0.62
Ni 0.0117 0.5058 0.8457  0.62
Ni 0.6667 0.3333 0.4842  0.68
Ni 0.1614 0.8386 0.6562  0.77
Co 0.8266 0.1734 0.6559  1.86
Co 0.3468 0.1734 0.6559  1.86
Co 0.8266 0.6532 0.6559  1.86
Co 0.1734 0.3468 0.1559  1.86
Co 0.1734 0.8266 0.1559  1.86
Co 0.6532 0.8266 0.1559  1.86
Pt 0.6667 0.3333 0.9852  0.26
Pt 0.3333 0.6667 0.4852  0.26

---

# 3
Computed, not measured: crystalline CoNi4Pt2 at its relaxed geometry at the PBE-GGA level of DFT.

Calculated values
The value obtained for the formation energy is 0.1529 eV per atom. The magnetic moment is 10.22 μB per cell. As for the volume: 182 Å³ per cell.

Unit cell a=2.6277 b=8.5035 c=8.2574 alpha=90.00 beta=90.00 gamma=98.89
Last column: magnetic moment on the atom in μB.
Element x y z (fractional)
Ni 0.7563 0.5127 0.3826  0.73
Ni 0.5000 0.0000 0.0000  0.57
Ni 0.0030 0.0060 0.7500  0.80
Ni 0.2437 0.4873 0.6174  0.73
Ni 0.9970 0.9940 0.2500  0.80
Ni 0.2437 0.4873 0.8826  0.73
Ni 0.5000 0.0000 0.5000  0.57
Ni 0.7563 0.5127 0.1174  0.73
Co 0.3723 0.7446 0.2500  1.96
Co 0.6277 0.2554 0.7500  1.96
Pt 0.1251 0.2501 0.0681  0.25
Pt 0.1251 0.2501 0.4319  0.25
Pt 0.8749 0.7499 0.5681  0.25
Pt 0.8749 0.7499 0.9319  0.25

---

# 4
Computed, not measured: crystalline CoNi3Pt2 at its relaxed geometry at the PBE-GGA level of DFT.

Calculated values
The value obtained for the formation energy is 0.0487 eV per atom. The offset from the most stable computed form is 0.0000 eV/atom. The magnetic moment is 9.06 μB per cell. As for the volume: 157 Å³ per cell.

Unit cell a=4.8386 b=5.7000 c=5.7000 alpha=87.11 beta=90.00 gamma=90.00
Last column: magnetic moment on the atom in μB.
Element x y z (fractional)
Pt 0.2197 0.5538 0.8949  0.30
Pt 0.7197 0.1051 0.4462  0.30
Pt 0.7197 0.4462 0.1051  0.30
Pt 0.2197 0.8949 0.5538  0.30
Co 0.7194 0.7755 0.7755  1.85
Co 0.2194 0.2245 0.2245  1.85
Ni 0.4700 0.8448 0.1553  0.76
Ni 0.9693 0.5002 0.5002  0.75
Ni 0.4700 0.1553 0.8448  0.76
Ni 0.9700 0.8447 0.1552  0.76
Ni 0.4693 0.4998 0.4998  0.75
Ni 0.9700 0.1552 0.8447  0.76

---

# 5
Computed, not measured: crystalline Co3Ni7Pt at its relaxed geometry at the PBE-GGA level of DFT.

Calculated values
The value obtained for the formation energy is 0.3921 eV per atom. The magnetic moment is 10.42 μB per cell. As for the volume: 140 Å³ per cell.

Unit cell a=4.5894 b=6.2235 c=6.2235 alpha=82.16 beta=117.26 gamma=117.26
Last column: magnetic moment on the atom in μB.
Element x y z (fractional)
Ni 0.3531 0.2022 0.2022  0.72
Ni 0.3237 0.5841 0.0551  0.67
Ni 0.6763 0.4159 0.9449  0.67
Ni 0.6469 0.7978 0.7978  0.72
Ni 0.0000 0.5000 0.5000  0.74
Ni 0.6763 0.9449 0.4159  0.67
Ni 0.3237 0.0551 0.5841  0.67
Co 0.5000 0.0000 0.0000  1.88
Co 0.0000 0.2109 0.7891  1.83
Co 0.0000 0.7891 0.2109  1.83
Pt 0.5000 0.5000 0.5000  0.31

---

# 6
Computed, not measured: crystalline Co2NiPt at its relaxed geometry at the PBE-GGA level of DFT.

Calculated values
The value obtained for the formation energy is -0.0324 eV per atom. The magnetic moment is 4.47 μB per cell. As for the volume: 49 Å³ per cell.

Unit cell a=5.7584 b=4.4877 c=2.6165 alpha=90.02 beta=62.95 gamma=120.60
Last column: magnetic moment on the atom in μB.
Element x y z (fractional)
Ni 0.0000 0.5000 0.5000  0.81
Co 0.5000 0.0000 0.5000  1.74
Co 0.0000 0.0000 0.0000  1.74
Pt 0.5000 0.5000 0.0000  0.33

---

# 7
Computed, not measured: crystalline Co6NiPt at its relaxed geometry at the PBE-GGA level of DFT.

Calculated values
The value obtained for the formation energy is -0.0240 eV per atom. The offset from the most stable computed form is 0.0000 eV/atom. The magnetic moment is 45.21 μB per cell. As for the volume: 372 Å³ per cell.

Unit cell a=6.2320 b=6.2320 c=10.1662 alpha=90.00 beta=90.00 gamma=109.53
Last column: magnetic moment on the atom in μB.
Element x y z (fractional)
Co 0.8836 0.6279 0.1289  1.73
Co 0.0000 0.0000 0.2500  1.73
Co 0.0000 0.0000 0.7500  1.74
Co 0.1164 0.3721 0.1289  1.73
Co 0.1216 0.3654 0.6210  1.73
Co 0.3654 0.1216 0.8790  1.73
Co 0.7544 0.2456 0.4937  1.73
Co 0.5000 0.5000 0.2500  1.71
Co 0.2456 0.7544 0.4937  1.73
Co 0.6279 0.8836 0.1289  1.73
Co 0.6346 0.8784 0.8790  1.73
Co 0.2456 0.7544 0.0063  1.73
Co 0.5000 0.5000 0.7500  1.72
Co 0.3721 0.1164 0.1289  1.73
Co 0.1216 0.3654 0.8790  1.73
Co 0.1164 0.3721 0.3711  1.73
Co 0.7544 0.2456 0.0063  1.73
Co 0.8836 0.6279 0.3711  1.73
Co 0.6346 0.8784 0.6210  1.73
Co 0.3721 0.1164 0.3711  1.73
Co 0.3654 0.1216 0.6210  1.73
Co 0.6279 0.8836 0.3711  1.73
Co 0.8784 0.6346 0.6210  1.73
Co 0.8784 0.6346 0.8790  1.73
Pt 0.2519 0.7481 0.7500  0.37
Pt 0.5000 0.5000 0.0033  0.36
Pt 0.7481 0.2519 0.7500  0.37
Pt 0.5000 0.5000 0.4967  0.36
Ni 0.0000 0.0000 0.4956  0.76
Ni 0.0000 0.0000 0.0044  0.76
Ni 0.7480 0.2520 0.2500  0.75
Ni 0.2520 0.7480 0.2500  0.75

---

# 8
Computed, not measured: crystalline Co2NiPt6 at its relaxed geometry at the PBE-GGA level of DFT.

Calculated values
The value obtained for the formation energy is -0.1091 eV per atom. The offset from the most stable computed form is 0.0000 eV/atom. The magnetic moment is 6.90 μB per cell. As for the volume: 129 Å³ per cell.

Unit cell a=3.8701 b=6.0168 c=6.1433 alpha=84.19 beta=71.64 gamma=71.24
Last column: magnetic moment on the atom in μB.
Element x y z (fractional)
Pt 0.3238 0.1852 0.1672  0.35
Pt 0.9910 0.1852 0.8328  0.35
Pt 0.6762 0.8148 0.8328  0.35
Pt 0.6565 0.1870 0.5000  0.34
Pt 0.3435 0.8130 0.5000  0.34
Pt 0.0090 0.8148 0.1672  0.35
Ni 0.0000 0.5000 0.5000  0.88
Co 0.6713 0.5000 0.1574  2.03
Co 0.3287 0.5000 0.8426  2.03

---

# 9
Computed, not measured: crystalline Co3NiPt3 at its relaxed geometry at the PBE-GGA level of DFT.

Calculated values
The value obtained for the formation energy is 0.0836 eV per atom. The magnetic moment is 30.53 μB per cell. As for the volume: 390 Å³ per cell.

Unit cell a=7.3031 b=7.3031 c=7.3031 alpha=90.00 beta=90.00 gamma=90.00
Last column: magnetic moment on the atom in μB.
Element x y z (fractional)
Ni 0.5328 0.9672 0.0328  0.73
Ni 0.4672 0.4672 0.4672  0.73
Ni 0.9672 0.0328 0.5328  0.73
Ni 0.0328 0.5328 0.9672  0.73
Co 0.8496 0.6504 0.3496  1.94
Co 0.6652 0.6652 0.6652  1.95
Co 0.3509 0.6491 0.1491  1.90
Co 0.6504 0.3496 0.8496  1.94
Co 0.1491 0.3509 0.6491  1.90
Co 0.3348 0.1652 0.8348  1.95
Co 0.1504 0.1504 0.1504  1.94
Co 0.8348 0.3348 0.1652  1.95
Co 0.1652 0.8348 0.3348  1.95
Co 0.8509 0.8509 0.8509  1.90
Co 0.6491 0.1491 0.3509  1.90
Co 0.3496 0.8496 0.6504  1.94
Pt 0.0446 0.6818 0.6332  0.40
Pt 0.8182 0.3668 0.5446  0.40
Pt 0.4554 0.3182 0.1332  0.40
Pt 0.6332 0.0446 0.6818  0.40
Pt 0.3182 0.1332 0.4554  0.40
Pt 0.1332 0.4554 0.3182  0.40
Pt 0.8668 0.9554 0.1818  0.40
Pt 0.3668 0.5446 0.8182  0.40
Pt 0.1818 0.8668 0.9554  0.40
Pt 0.6818 0.6332 0.0446  0.40
Pt 0.5446 0.8182 0.3668  0.40
Pt 0.9554 0.1818 0.8668  0.40

---

# 10
Computed, not measured: crystalline CoNiPt14 at its relaxed geometry at the PBE-GGA level of DFT.

Calculated values
The value obtained for the formation energy is -0.0050 eV per atom. The magnetic moment is 6.00 μB per cell. As for the volume: 245 Å³ per cell.

Unit cell a=5.5445 b=5.5445 c=9.1930 alpha=90.00 beta=90.00 gamma=119.92
Last column: magnetic moment on the atom in μB.
Element x y z (fractional)
Pt 0.8736 0.6273 0.2613  0.24
Pt 0.0435 0.4571 0.5000  0.31
Pt 0.7080 0.2920 0.0000  0.18
Pt 0.8764 0.1236 0.2558  0.20
Pt 0.3762 0.6238 0.7454  0.17
Pt 0.3727 0.1264 0.2613  0.24
Pt 0.2085 0.2914 0.0000  0.15
Pt 0.7086 0.7915 0.0000  0.15
Pt 0.2080 0.7920 0.0000  0.20
Pt 0.8736 0.6273 0.7387  0.24
Pt 0.5429 0.9565 0.5000  0.31
Pt 0.3762 0.6238 0.2546  0.17
Pt 0.3727 0.1264 0.7387  0.24
Pt 0.8764 0.1236 0.7442  0.20
Co 0.0409 0.9591 0.5000  2.15
Ni 0.5417 0.4583 0.5000  0.92

---

# 11
Computed, not measured: crystalline CoNi3Pt3 at its relaxed geometry at the PBE-GGA level of DFT.

Calculated values
The value obtained for the formation energy is 0.0874 eV per atom. The offset from the most stable computed form is 0.0000 eV/atom. The magnetic moment is 9.94 μB per cell. As for the volume: 188 Å³ per cell.

Unit cell a=4.7765 b=6.2847 c=6.2847 alpha=86.11 beta=90.06 gamma=90.06
Last column: magnetic moment on the atom in μB.
Element x y z (fractional)
Pt 0.7500 0.0752 0.4289  0.31
Pt 0.2500 0.9248 0.5711  0.31
Pt 0.2498 0.2431 0.2431  0.24
Pt 0.7500 0.4289 0.0752  0.31
Pt 0.2500 0.5711 0.9248  0.31
Pt 0.7502 0.7569 0.7569  0.24
Co 0.7501 0.0368 0.0368  1.91
Co 0.2499 0.9632 0.9632  1.91
Ni 0.0000 0.7525 0.2475  0.78
Ni 0.7500 0.4740 0.4740  0.75
Ni 0.0000 0.2475 0.7525  0.78
Ni 0.2500 0.5260 0.5260  0.75
Ni 0.5000 0.7523 0.2477  0.78
Ni 0.5000 0.2477 0.7523  0.78

---

# 12
Computed, not measured: crystalline Co8Ni2Pt at its relaxed geometry at the PBE-GGA level of DFT.

Calculated values
The value obtained for the formation energy is 0.1457 eV per atom. The offset from the most stable computed form is 0.0000 eV/atom. The magnetic moment is 15.19 μB per cell. As for the volume: 130 Å³ per cell.

Unit cell a=4.2308 b=6.5234 c=6.9912 alpha=62.19 beta=72.41 gamma=49.64
Last column: magnetic moment on the atom in μB.
Element x y z (fractional)
Co 0.2449 0.5002 0.0000  1.62
Co 0.2311 0.9036 0.7310  1.74
Co 0.7551 0.4998 0.0000  1.62
Co 0.7689 0.0964 0.2690  1.74
Co 0.5000 0.2056 0.5888  1.75
Co 0.5000 0.7944 0.4112  1.75
Co 0.2311 0.6346 0.2690  1.74
Co 0.7689 0.3654 0.7310  1.74
Ni 0.0000 0.3157 0.3686  0.70
Ni 0.0000 0.6843 0.6314  0.70
Pt 0.5000 0.0000 0.0000  0.36

---

Q: The highest volume belongs to which entry?
A: Co3NiPt3